DFT (PBE) results for Sr3HfGe after structural relaxation.

Structure (POSCAR):
```
Sr3HfGe
1.0
6.0682 0.0000 0.0000
0.0000 6.0682 0.0000
0.0000 0.0000 6.0682
Sr Ge Hf
3 1 1
direct
0.0000 0.5000 0.0000
0.0000 0.0000 0.5000
0.5000 0.0000 0.0000
0.5000 0.5000 0.5000
0.0000 0.0000 0.0000
```

Output
total magnetic moment	0.432	μB per atom
DFT total energy	-2.865	eV/atom
energy relative to the elements	1.06	eV/atom
D(E_F)	1.31	states/eV/atom
offset from the most stable computed form	512	meV per atom
symmetry	Pm-3m
mass density	3820	kg/m³

***

DFT (PBE) results for YErGa after structural relaxation.

Structure (POSCAR):
```
YErGa
1.0
-0.0530 4.3072 -0.4133
-6.0292 -0.5657 -5.1209
-1.4464 0.7272 7.7637
Y Er Ga
3 3 3
direct
0.5000 0.4059 0.4058
0.5000 0.0000 0.5942
0.5000 0.5941 0.0000
0.0000 0.7402 0.7402
0.0000 0.0000 0.2598
0.0000 0.2598 0.0000
0.0000 0.3333 0.6667
0.0000 0.6667 0.3333
0.5000 0.0000 0.0000
```

Output
total magnetic moment	0.342	μB per atom
DFT total energy	-5.105	eV/atom
energy relative to the elements	-0.42	eV/atom
D(E_F)	1.00	states/eV/atom
offset from the most stable computed form	0	meV per atom
symmetry	P-62m
mass density	6888	kg/m³

***

DFT (PBE) results for Ac2TlCd6 after structural relaxation.

Structure (POSCAR):
```
Ac2TlCd6
1.0
3.7350 0.0000 0.0000
0.0000 7.7780 -4.4906
0.0000 0.0000 8.9813
Ac Tl Cd
2 1 6
direct
0.0000 0.3333 0.6667
0.0000 0.6667 0.3333
0.0000 0.0000 0.0000
0.5000 0.3267 0.3267
0.5000 0.6733 0.6733
0.5000 0.0000 0.6733
0.5000 0.6733 0.0000
0.5000 0.3267 0.0000
0.5000 0.0000 0.3267
```

Output
total magnetic moment	0.000	μB per atom
DFT total energy	-1.992	eV/atom
energy relative to the elements	-0.21	eV/atom
D(E_F)	0.52	states/eV/atom
symmetry	P6/mmm
mass density	8483	kg/m³

***

DFT (PBE) results for Te2AsWI after structural relaxation.

Structure (POSCAR):
```
Te2AsWI
1.0
5.4959 0.0000 0.0000
0.0000 5.4959 0.0000
0.0000 0.0000 5.3399
I As Te W
1 1 2 1
direct
0.0000 0.0000 0.5000
0.0000 0.0000 0.0000
0.0000 0.5000 0.0000
0.5000 0.0000 0.0000
0.5000 0.5000 0.5000
```

Output
total magnetic moment	0.711	μB per atom
DFT total energy	-3.611	eV/atom
D(E_F)	1.13	states/eV/atom
energy relative to the elements, uncorrected	1.48	eV per atom
offset from the most stable computed form	584	meV per atom
symmetry	P4/mmm
mass density	6598	kg/m³

***

DFT (PBE) results for Ag3RhN after structural relaxation.

Structure (POSCAR):
```
Ag3RhN
1.0
-1.5908 -0.6428 -3.9217
2.4482 -3.4860 -0.4217
-3.1304 -2.3996 1.6631
Rh Ag N
1 3 1
direct
0.5000 0.5000 0.5000
0.0000 0.5000 0.0000
0.0000 0.0000 0.5000
0.5000 0.0000 0.0000
0.0000 0.0000 0.0000
```

Output
total magnetic moment	0.142	μB per atom
DFT total energy	-4.016	eV/atom
D(E_F)	1.63	states/eV/atom
energy relative to the elements, uncorrected	0.83	eV per atom
offset from the most stable computed form	0	meV per atom
symmetry	Pm-3m
mass density	9326	kg/m³

***

DFT (PBE) results for Rb2BaTiBr after structural relaxation.

Structure (POSCAR):
```
Rb2BaTiBr
1.0
-4.3350 6.3980 -0.3988
-4.0645 -2.6874 1.0666
1.1533 1.2519 7.5490
Br Ba Rb Ti
1 1 2 1
direct
0.0000 0.5000 0.0000
0.5000 0.5000 0.5000
0.0000 0.0000 0.5000
0.5000 0.0000 0.0000
0.0000 0.0000 0.0000
```

Output
total magnetic moment	0.520	μB per atom
DFT total energy	-2.412	eV/atom
D(E_F)	1.44	states/eV/atom
energy relative to the elements, uncorrected	0.27	eV per atom
offset from the most stable computed form	0	meV per atom
symmetry	P4/mmm
mass density	2424	kg/m³

***

DFT (PBE) results for TaZnPd3 after structural relaxation.

Structure (POSCAR):
```
TaZnPd3
1.0
4.8541 0.0000 0.0000
0.0000 4.8541 0.0000
0.0000 0.0000 4.8541
Zn Pd Ta
1 3 1
direct
0.5000 0.5000 0.5000
0.0000 0.5000 0.0000
0.0000 0.0000 0.5000
0.5000 0.0000 0.0000
0.0000 0.0000 0.0000
```

Output
total magnetic moment	0.000	μB per atom
DFT total energy	-4.820	eV/atom
energy relative to the elements	0.92	eV/atom
D(E_F)	1.10	states/eV/atom
offset from the most stable computed form	198	meV per atom
symmetry	Pm-3m
mass density	8212	kg/m³

***

DFT (PBE) results for BaNaNpO4 after structural relaxation.

Structure (POSCAR):
```
BaNaNpO4
1.0
4.3793 0.0000 0.0000
0.0000 4.3793 0.0000
-2.1896 -2.1896 6.4830
Ba Na Np O
1 1 1 4
direct
0.3528 0.3528 0.7055
0.6508 0.6508 0.3015
0.0032 0.0032 0.0065
0.9967 0.4967 0.9934
0.4967 0.9967 0.9934
0.8420 0.8420 0.6841
0.1578 0.1578 0.3156
```

Output
total magnetic moment	0.286	μB per atom
DFT total energy	-7.796	eV/atom
D(E_F)	0.62	states/eV/atom
energy relative to the elements, uncorrected	-2.65	eV per atom
symmetry	I4mm
mass density	6161	kg/m³